First-principles (PBE+U) data for a relaxed LiCrPO4 crystal, as listed in the Alexandria database.

```
LiCrPO4
1.0
7.815 0.000 0.000
0.000 5.039 0.000
-0.801 0.000 17.348
Li Cr P O
8 8 8 32
direct
0.002 0.195 0.090 Li
0.002 0.305 0.590 Li
0.487 0.509 0.314 Li
0.487 0.991 0.814 Li
0.513 0.009 0.186 Li
0.513 0.491 0.686 Li
0.998 0.695 0.410 Li
0.998 0.805 0.910 Li
0.156 0.596 0.216 Cr
0.156 0.904 0.716 Cr
0.377 0.246 0.988 Cr
0.377 0.254 0.488 Cr
0.623 0.746 0.512 Cr
0.623 0.754 0.012 Cr
0.844 0.096 0.284 Cr
0.844 0.404 0.784 Cr
0.236 0.708 0.561 P
0.236 0.792 0.061 P
0.259 0.018 0.319 P
0.259 0.482 0.819 P
0.741 0.518 0.181 P
0.741 0.982 0.681 P
0.764 0.208 0.939 P
0.764 0.292 0.439 P
0.071 0.594 0.818 O
0.071 0.906 0.318 O
0.130 0.620 0.630 O
0.130 0.880 0.130 O
0.167 0.586 0.485 O
0.167 0.914 0.985 O
0.245 0.015 0.563 O
0.245 0.485 0.063 O
0.262 0.193 0.789 O
0.262 0.307 0.289 O
0.344 0.504 0.900 O
0.344 0.996 0.400 O
0.359 0.669 0.764 O
0.359 0.831 0.264 O
0.423 0.572 0.573 O
0.423 0.928 0.073 O
0.577 0.072 0.927 O
0.577 0.428 0.427 O
0.641 0.169 0.736 O
0.641 0.331 0.236 O
0.656 0.004 0.600 O
0.656 0.496 0.100 O
0.738 0.693 0.711 O
0.738 0.807 0.211 O
0.755 0.515 0.937 O
0.755 0.985 0.437 O
0.833 0.086 0.015 O
0.833 0.414 0.515 O
0.870 0.120 0.870 O
0.870 0.380 0.370 O
0.929 0.094 0.682 O
0.929 0.406 0.182 O
```

Calculated values
Space-group type: P2_1/c
Energy: -0.522 Ry/atom